No. 1
# Sr2ScRe PBE-GGA relaxed
# - Formation energy: 0.8975 eV/atom
# - Fermi-level density of states: 3.670 states/eV/f.u.
# - Magnetic moment: 0.0 μB per cell
data_Sr2ScRe
_chemical_formula_sum 'Sr2 Sc1 Re1'
_cell_length_a 4.528
_cell_length_b 4.528
_cell_length_c 5.166
_cell_angle_alpha 90.00
_cell_angle_beta 90.00
_cell_angle_gamma 90.00
_symmetry_space_group_name_H-M 'P 4/m m m'
_symmetry_Int_Tables_number 123
_symmetry_space_group_name_Hall '-P 4 2'
loop_
_atom_site_label
_atom_site_fract_x
_atom_site_fract_y
_atom_site_fract_z
_atom_site_occupancy
Sr1 0.000 0.500 0.000 1
Sc1 0.000 0.000 0.500 1
Re1 0.500 0.500 0.500 1



No. 2
# Sr2ScRe PBE-GGA relaxed
# - Formation energy: 0.9880 eV/atom
# - Fermi-level density of states: 4.940 states/eV/f.u.
# - Magnetic moment: 0.0 μB per cell
data_Sr2ScRe
_chemical_formula_sum 'Sr4 Sc2 Re2'
_cell_length_a 6.201
_cell_length_b 10.686
_cell_length_c 3.167
_cell_angle_alpha 90.00
_cell_angle_beta 90.00
_cell_angle_gamma 90.00
_symmetry_space_group_name_H-M 'C m m m'
_symmetry_Int_Tables_number 65
_symmetry_space_group_name_Hall '-C 2 2'
loop_
_atom_site_label
_atom_site_fract_x
_atom_site_fract_y
_atom_site_fract_z
_atom_site_occupancy
Sr1 0.250 0.250 0.000 1
Sc1 0.000 0.000 0.500 1
Re1 0.000 0.500 0.500 1



No. 3
# SrScRe2 PBE-GGA relaxed
# - Formation energy: 0.2833 eV/atom
# - Fermi-level density of states: 4.062 states/eV/f.u.
# - Magnetic moment: 0.0 μB per cell
data_SrScRe2
_chemical_formula_sum 'Sr2 Sc2 Re4'
_cell_length_a 7.383
_cell_length_b 4.262
_cell_length_c 7.139
_cell_angle_alpha 90.00
_cell_angle_beta 110.33
_cell_angle_gamma 90.00
_symmetry_space_group_name_H-M 'C 1 m 1'
_symmetry_Int_Tables_number 8
loop_
_symmetry_equiv_pos_as_xyz
'x,y,z'
'x,-y,z'
'x+1/2,y+1/2,z'
'x+1/2,-y+1/2,z'
loop_
_atom_site_label
_atom_site_fract_x
_atom_site_fract_y
_atom_site_fract_z
_atom_site_occupancy
Sr1 0.000 0.000 0.000 1
Sc1 0.192 0.000 0.573 1
Re1 0.274 0.500 0.320 1
Re2 0.461 0.000 0.382 1



No. 4
# SrSc2Re PBE-GGA relaxed
# - Formation energy: 0.6310 eV/atom
# - Fermi-level density of states: 4.105 states/eV/f.u.
# - Magnetic moment: 0.0 μB per cell
data_SrSc2Re
_chemical_formula_sum 'Sr2 Sc4 Re2'
_cell_length_a 4.656
_cell_length_b 4.656
_cell_length_c 8.399
_cell_angle_alpha 90.00
_cell_angle_beta 90.00
_cell_angle_gamma 90.00
_symmetry_space_group_name_H-M 'I -4 m 2'
_symmetry_Int_Tables_number 119
_symmetry_space_group_name_Hall 'I -4 -2'
loop_
_atom_site_label
_atom_site_fract_x
_atom_site_fract_y
_atom_site_fract_z
_atom_site_occupancy
Sr1 0.000 0.000 0.000 1
Sc1 0.000 0.000 0.500 1
Sc2 0.000 0.500 0.250 1
Re1 0.000 0.500 0.750 1



No. 5
# SrScRe PBE-GGA relaxed
# - Formation energy: 1.8724 eV/atom
# - Fermi-level density of states: 2.881 states/eV/f.u.
# - Magnetic moment: 6.8 μB per cell
data_SrScRe
_chemical_formula_sum 'Sr4 Sc4 Re4'
_cell_length_a 6.955
_cell_length_b 6.955
_cell_length_c 6.955
_cell_angle_alpha 90.00
_cell_angle_beta 90.00
_cell_angle_gamma 90.00
_symmetry_space_group_name_H-M 'F -4 3 m'
_symmetry_Int_Tables_number 216
_symmetry_space_group_name_Hall 'F -4 2 3'
loop_
_atom_site_label
_atom_site_fract_x
_atom_site_fract_y
_atom_site_fract_z
_atom_site_occupancy
Sr1 0.000 0.000 0.000 1
Sc1 0.250 0.250 0.250 1
Re1 0.250 0.250 0.750 1



No. 6
# SrSc2Re PBE-GGA relaxed
# - Formation energy: 0.6276 eV/atom
# - Fermi-level density of states: 4.793 states/eV/f.u.
# - Magnetic moment: 0.0 μB per cell
data_SrSc2Re
_chemical_formula_sum 'Sr1 Sc2 Re1'
_cell_length_a 4.721
_cell_length_b 4.721
_cell_length_c 4.043
_cell_angle_alpha 90.00
_cell_angle_beta 90.00
_cell_angle_gamma 90.00
_symmetry_space_group_name_H-M 'P 4/m m m'
_symmetry_Int_Tables_number 123
_symmetry_space_group_name_Hall '-P 4 2'
loop_
_atom_site_label
_atom_site_fract_x
_atom_site_fract_y
_atom_site_fract_z
_atom_site_occupancy
Sr1 0.000 0.000 0.000 1
Sc1 0.000 0.500 0.500 1
Re1 0.500 0.500 0.000 1



No. 7
# SrScRe PBE-GGA relaxed
# - Formation energy: 0.9723 eV/atom
# - Fermi-level density of states: 2.124 states/eV/f.u.
# - Magnetic moment: 0.0 μB per cell
data_SrScRe
_chemical_formula_sum 'Sr4 Sc4 Re4'
_cell_length_a 6.798
_cell_length_b 6.798
_cell_length_c 6.798
_cell_angle_alpha 90.00
_cell_angle_beta 90.00
_cell_angle_gamma 90.00
_symmetry_space_group_name_H-M 'F -4 3 m'
_symmetry_Int_Tables_number 216
_symmetry_space_group_name_Hall 'F -4 2 3'
loop_
_atom_site_label
_atom_site_fract_x
_atom_site_fract_y
_atom_site_fract_z
_atom_site_occupancy
Sr1 0.000 0.000 0.000 1
Sc1 0.000 0.000 0.500 1
Re1 0.250 0.250 0.250 1



No. 8
# Sr2ScRe PBE-GGA relaxed
# - Formation energy: 0.7821 eV/atom
# - Fermi-level density of states: 2.093 states/eV/f.u.
# - Magnetic moment: 0.0 μB per cell
data_Sr2ScRe
_chemical_formula_sum 'Sr4 Sc2 Re2'
_cell_length_a 5.259
_cell_length_b 5.259
_cell_length_c 7.482
_cell_angle_alpha 90.00
_cell_angle_beta 90.00
_cell_angle_gamma 90.00
_symmetry_space_group_name_H-M 'I -4 m 2'
_symmetry_Int_Tables_number 119
_symmetry_space_group_name_Hall 'I -4 -2'
loop_
_atom_site_label
_atom_site_fract_x
_atom_site_fract_y
_atom_site_fract_z
_atom_site_occupancy
Sr1 0.000 0.000 0.000 1
Sr2 0.000 0.500 0.250 1
Sc1 0.000 0.000 0.500 1
Re1 0.000 0.500 0.750 1